Record 1
## Er6Sb3SeS2 (PBE-GGA)

Data for an optimized crystal structure of Er6Sb3SeS2.

Values from the calculation:
- space group = No. 12
- E_form (uncorrected) (kJ/mol of atoms) = -140
- calculated volume (Å³ per cell) = 301.6

Lattice parameters (Å, degrees): 7.1691 7.1691 7.1810 99.61 99.61 119.91
Fractional coordinates of all 12 atoms:
Er: 0.0814 0.4235 0.7704
Er: 0.2328 0.2328 0.2245
Er: 0.4235 0.0814 0.7704
Er: 0.5765 0.9186 0.2296
Er: 0.7672 0.7672 0.7755
Er: 0.9186 0.5765 0.2296
Sb: 0.0000 0.0000 0.5000
Sb: 0.3372 0.6628 0.5000
Sb: 0.6628 0.3372 0.5000
Se: 0.5000 0.5000 0.0000
S: 0.1675 0.8325 0.0000
S: 0.8325 0.1675 0.0000

***

Record 2
## Er6SbTe3S2 (PBE-GGA)

Data for an optimized crystal structure of Er6SbTe3S2.

Values from the calculation:
- space group = No. 12
- E_form (uncorrected) (kJ/mol of atoms) = -140
- calculated volume (Å³ per cell) = 310.2

Lattice parameters (Å, degrees): 7.1647 7.1647 7.3711 99.36 99.36 119.90
Fractional coordinates of all 12 atoms:
Er: 0.0723 0.4274 0.7851
Er: 0.2128 0.2128 0.2085
Er: 0.4274 0.0723 0.7851
Er: 0.5726 0.9277 0.2149
Er: 0.7872 0.7872 0.7915
Er: 0.9277 0.5726 0.2149
Sb: 0.5000 0.5000 0.0000
Te: 0.0000 0.0000 0.5000
Te: 0.3410 0.6590 0.5000
Te: 0.6590 0.3410 0.5000
S: 0.1683 0.8317 0.0000
S: 0.8317 0.1683 0.0000

***

Record 3
## Er8Sb3Te4S (PBE-GGA)

Data for an optimized crystal structure of Er8Sb3Te4S.

Values from the calculation:
- space group = No. 166
- E_form (uncorrected) (kJ/mol of atoms) = -123
- calculated volume (Å³ per cell) = 445.5

Lattice parameters (Å, degrees): 8.6051 8.6051 8.6051 59.51 59.51 59.51
Fractional coordinates of all 16 atoms:
Er: 0.2464 0.2464 0.2464
Er: 0.2624 0.7314 0.7314
Er: 0.2686 0.2686 0.7376
Er: 0.2686 0.7376 0.2686
Er: 0.7314 0.2624 0.7314
Er: 0.7314 0.7314 0.2624
Er: 0.7376 0.2686 0.2686
Er: 0.7536 0.7536 0.7536
Sb: 0.0000 0.0000 0.5000
Sb: 0.0000 0.5000 0.0000
Sb: 0.5000 0.0000 0.0000
Te: 0.0000 0.0000 0.0000
Te: 0.0000 0.5000 0.5000
Te: 0.5000 0.0000 0.5000
Te: 0.5000 0.5000 0.0000
S: 0.5000 0.5000 0.5000

***

Record 4
## Er2Tl2SbS6 (PBE-GGA)

Data for an optimized crystal structure of Er2Tl2SbS6.

Values from the calculation:
- space group = No. 12
- E_form (uncorrected) (kJ/mol of atoms) = -106
- calculated volume (Å³ per cell) = 305.1

Lattice parameters (Å, degrees): 6.8208 6.8208 7.9232 98.69 98.69 119.79
Fractional coordinates of all 11 atoms:
Er: 0.1673 0.8327 0.0000
Er: 0.8327 0.1673 0.0000
Tl: 0.3274 0.6726 0.5000
Tl: 0.6726 0.3274 0.5000
Sb: 0.5000 0.5000 0.0000
S: 0.1065 0.4318 0.8057
S: 0.2437 0.2437 0.1935
S: 0.4318 0.1065 0.8057
S: 0.5682 0.8935 0.1943
S: 0.7563 0.7563 0.8065
S: 0.8935 0.5682 0.1943